Arrangement A

Compound: MnNbCr2
Source: Alexandria via LeMat-Bulk
Functional: GGA-PBE
Structure: optimized geometry

Structure (POSCAR):
```
MnNbCr2
1.0
-3.3742 -0.3443 2.5405
0.5165 -0.1177 4.2045
-1.2082 3.2943 2.3763
Cr Nb Mn
2 1 1
Direct
0.2500 0.2500 0.2500
0.7500 0.7500 0.7500
0.5000 0.5000 0.5000
0.0000 0.0000 0.0000
```

Calculated values
V = 13.453 Å³ per atom
magnetization = 0.002 μB/f.u.
Fermi-level density of states = 2.1 states/eV per cell


Arrangement B

Compound: MnNbCr2
Source: Alexandria via LeMat-Bulk
Functional: GGA-PBE
Structure: optimized geometry

Structure (POSCAR):
```
MnNbCr2
1.0
3.0288 0.0000 0.0000
0.0000 4.2411 0.0000
0.0000 0.0000 4.2411
Cr Nb Mn
2 1 1
Direct
0.0000 0.0000 0.5000
0.0000 0.5000 0.0000
0.5000 0.5000 0.5000
0.5000 0.0000 0.0000
```

Calculated values
V = 13.620 Å³ per atom
magnetization = 0.116 μB/f.u.
Fermi-level density of states = 2.3 states/eV per cell


Arrangement C

Compound: MnNbCr2
Source: Alexandria via LeMat-Bulk
Functional: GGA-PBE
Structure: optimized geometry

Structure (POSCAR):
```
MnNbCr2
1.0
6.6460 0.0000 0.0000
0.0000 6.6460 0.0000
3.3230 3.3230 2.5275
Cr Nb Mn
4 2 2
Direct
0.5863 0.1250 0.2500
0.1637 0.6250 0.2500
0.3750 0.4137 0.7500
0.8750 0.8363 0.7500
0.0000 0.0000 0.0000
0.7500 0.2500 0.5000
0.5000 0.5000 0.0000
0.2500 0.7500 0.5000
```

Calculated values
V = 13.955 Å³ per atom
magnetization = 0.001 μB/f.u.
Fermi-level density of states = 10.1 states/eV per cell


Arrangement D

Compound: MnNbCr2
Source: Alexandria via LeMat-Bulk
Functional: GGA-PBE
Structure: optimized geometry

Structure (POSCAR):
```
MnNbCr2
1.0
3.0189 0.0000 0.0000
0.0000 3.0189 0.0000
0.0000 0.0000 5.9965
Cr Nb Mn
2 1 1
Direct
0.0000 0.0000 0.7639
0.0000 0.0000 0.2361
0.5000 0.5000 0.5000
0.5000 0.5000 0.0000
```

Calculated values
V = 13.663 Å³ per atom
magnetization = 0.013 μB/f.u.
Fermi-level density of states = 3.0 states/eV per cell


Top of the stability list: arrangement A, leading by 1.3 kJ/mol of atoms.


Arrangement A

Compound: MnNb2Cr
Source: Alexandria via LeMat-Bulk
Functional: GGA-PBE
Structure: optimized geometry

Structure (POSCAR):
```
MnNb2Cr
1.0
3.0811 0.0000 0.0000
0.0000 4.3694 0.0000
0.0000 0.0000 4.3694
Cr Nb Mn
1 2 1
Direct
0.5000 0.5000 0.5000
0.0000 0.0000 0.5000
0.0000 0.5000 0.0000
0.5000 0.0000 0.0000
```

Calculated values
V = 14.706 Å³ per atom
magnetization = 0.001 μB/f.u.
Fermi-level density of states = 2.8 states/eV per cell


Arrangement B

Compound: MnNb2Cr
Source: Alexandria via LeMat-Bulk
Functional: GGA-PBE
Structure: optimized geometry

Structure (POSCAR):
```
MnNb2Cr
1.0
-2.8410 2.5984 5.6281
-4.0414 -5.4708 0.4858
-1.5855 -2.6731 4.5647
Cr Nb Mn
2 4 2
Direct
0.5000 0.5000 0.0000
0.2500 0.7500 0.5000
0.6341 0.1250 0.2500
0.1159 0.6250 0.2500
0.3750 0.3659 0.7500
0.8750 0.8841 0.7500
0.0000 0.0000 0.0000
0.7500 0.2500 0.5000
```

Calculated values
V = 15.647 Å³ per atom
magnetization = 0.001 μB/f.u.
Fermi-level density of states = 9.4 states/eV per cell


Arrangement C

Compound: MnNb2Cr
Source: Alexandria via LeMat-Bulk
Functional: GGA-PBE
Structure: optimized geometry

Structure (POSCAR):
```
MnNb2Cr
1.0
0.0000 3.0874 3.0874
3.0874 0.0000 3.0874
3.0874 3.0874 0.0000
Cr Nb Mn
1 2 1
Direct
0.0000 0.0000 0.0000
0.2500 0.2500 0.2500
0.7500 0.7500 0.7500
0.5000 0.5000 0.5000
```

Calculated values
V = 14.715 Å³ per atom
magnetization = 0.000 μB/f.u.
Fermi-level density of states = 4.0 states/eV per cell


Top of the stability list: arrangement A, leading by 0.6 kJ/mol of atoms.


Arrangement A

Compound: MnNbCr
Source: Alexandria via LeMat-Bulk
Functional: GGA-PBE
Structure: optimized geometry

Structure (POSCAR):
```
MnNbCr
1.0
-0.3155 -2.4697 2.9917
-0.1111 -3.2584 -2.7016
5.5717 -0.4020 0.2557
Mn Cr Nb
2 2 2
Direct
0.5000 0.0000 0.7004
0.0000 0.5000 0.2996
0.0000 0.0000 0.4940
0.5000 0.5000 0.5060
0.5000 0.5000 0.9977
0.0000 0.0000 0.0023
```

Calculated values
V = 15.360 Å³ per atom
magnetization = 0.000 μB/f.u.
Fermi-level density of states = 5.4 states/eV per cell


Arrangement B

Compound: MnNbCr
Source: Alexandria via LeMat-Bulk
Functional: GGA-PBE
Structure: optimized geometry

Structure (POSCAR):
```
MnNbCr
1.0
3.0114 0.0000 0.0000
0.0000 3.0114 0.0000
-1.5057 -1.5057 4.5128
Cr Nb Mn
1 1 1
Direct
0.2747 0.2747 0.5494
0.9507 0.9507 0.9014
0.6246 0.6246 0.2491
```

Calculated values
V = 13.641 Å³ per atom
magnetization = 0.000 μB/f.u.
Fermi-level density of states = 2.8 states/eV per cell


Top of the stability list: arrangement B, leading by 42.1 kJ/mol of atoms.


Arrangement A

Compound: Mn3Nb2Cr
Source: Alexandria via LeMat-Bulk
Functional: GGA-PBE
Structure: optimized geometry

Structure (POSCAR):
```
Mn3Nb2Cr
1.0
-2.3691 3.1554 2.9419
0.5859 -4.6876 1.3812
4.7471 0.3858 -0.7061
Mn Nb Cr
3 2 1
Direct
0.5000 0.5000 0.5000
0.0000 0.0000 0.5000
0.5000 0.0000 0.5000
0.7487 0.3745 0.1231
0.2513 0.6255 0.8769
0.0000 0.0000 0.0000
```

Calculated values
V = 13.591 Å³ per atom
magnetization = 3.146 μB/f.u.
Fermi-level density of states = 7.3 states/eV per cell


Arrangement B

Compound: Mn3Nb2Cr
Source: Alexandria via LeMat-Bulk
Functional: GGA-PBE
Structure: optimized geometry

Structure (POSCAR):
```
Mn3Nb2Cr
1.0
4.8691 0.0000 0.0000
0.0000 5.8602 1.0941
0.0000 -0.9816 5.8801
Mn Nb Cr
6 4 2
Direct
0.0000 0.2287 0.7713
0.5000 0.2287 0.7713
0.2500 0.5915 0.5915
0.7500 0.4085 0.4085
0.5000 0.7713 0.2287
0.0000 0.7713 0.2287
0.7500 0.5785 0.9028
0.2500 0.0972 0.4215
0.2500 0.4215 0.0972
0.7500 0.9028 0.5785
0.2500 0.8984 0.8984
0.7500 0.1016 0.1016
```

Calculated values
V = 14.418 Å³ per atom
magnetization = 2.216 μB/f.u.
Fermi-level density of states = 15.9 states/eV per cell


Top of the stability list: arrangement A, leading by 36.7 kJ/mol of atoms.


Arrangement A

Compound: MnCr2Ni2
Source: Alexandria via LeMat-Bulk
Functional: GGA-PBE
Structure: optimized geometry

Structure (POSCAR):
```
MnCr2Ni2
1.0
6.8175 0.0000 0.0000
0.0000 6.8175 0.0000
0.0000 0.0000 2.4717
Ni Mn Cr
4 2 4
Direct
0.3776 0.8776 0.0000
0.8776 0.6224 0.0000
0.6224 0.1224 0.0000
0.1224 0.3776 0.0000
0.0000 0.0000 0.0000
0.5000 0.5000 0.0000
0.1761 0.6761 0.5000
0.6761 0.8239 0.5000
0.8239 0.3239 0.5000
0.3239 0.1761 0.5000
```

Calculated values
V = 11.488 Å³ per atom
magnetization = 0.000 μB/f.u.
Fermi-level density of states = 14.4 states/eV per cell


Arrangement B

Compound: MnCr2Ni2
Source: Alexandria via LeMat-Bulk
Functional: GGA-PBE
Structure: optimized geometry

Structure (POSCAR):
```
MnCr2Ni2
1.0
-0.3787 -3.1118 0.7338
2.4645 -0.7548 -1.9292
4.7088 -1.3307 3.8497
Ni Mn Cr
2 1 2
Direct
0.4052 0.4052 0.1897
0.5948 0.5948 0.8103
0.0000 0.0000 0.0000
0.7500 0.2500 0.5000
0.2500 0.7500 0.5000
```

Calculated values
V = 12.013 Å³ per atom
magnetization = 0.000 μB/f.u.
Fermi-level density of states = 5.7 states/eV per cell


Top of the stability list: arrangement A, leading by 26.0 kJ/mol of atoms.


Arrangement A

Compound: MnCr2Ni8
Source: Alexandria via LeMat-Bulk
Functional: GGA-PBE
Structure: optimized geometry

Structure (POSCAR):
```
MnCr2Ni8
1.0
4.0778 1.4544 0.0000
2.4439 6.0457 0.0000
1.2219 3.0228 6.2073
Mn Cr Ni
1 2 8
Direct
0.5000 0.0000 0.0000
0.0000 0.3178 0.3644
0.0000 0.6822 0.6356
0.7592 0.1025 0.2747
0.7592 0.3772 0.7253
0.2459 0.5020 0.0000
0.5000 0.8038 0.3923
0.5000 0.1962 0.6076
0.7541 0.4980 0.0000
0.2408 0.6228 0.2747
0.2408 0.8975 0.7253
```

Calculated values
V = 11.906 Å³ per atom
magnetization = 8.266 μB/f.u.
Fermi-level density of states = 15.7 states/eV per cell


Arrangement B

Compound: MnCr2Ni8
Source: Alexandria via LeMat-Bulk
Functional: GGA-PBE
Structure: optimized geometry

Structure (POSCAR):
```
MnCr2Ni8
1.0
-0.3310 3.3330 1.9535
-3.4556 2.1365 -4.2307
-2.5641 -4.7228 3.7754
Mn Cr Ni
1 2 8
Direct
0.5000 0.0000 0.0000
0.1991 0.6991 0.3983
0.8009 0.3009 0.6017
0.6455 0.8552 0.2910
0.3545 0.5642 0.7090
0.1619 0.1619 0.3238
0.0000 0.2944 0.0000
0.8381 0.8381 0.6762
0.6455 0.4358 0.2910
0.3545 0.1448 0.7090
0.0000 0.7056 0.0000
```

Calculated values
V = 11.470 Å³ per atom
magnetization = 4.388 μB/f.u.
Fermi-level density of states = 12.4 states/eV per cell


Top of the stability list: arrangement B, leading by 6.9 kJ/mol of atoms.